Hg12Au3I5 | GGA-PBE | optimized geometry

Cell: 15.4703 15.4703 15.4703 Å, 109.47 109.47 109.47°
With the nearest neighbours (Å) after each atom.
Fractional positions:
Au (0.7500, 0.3750, 0.1250)  4 Hg 2.76
Au (0.8750, 0.7500, 0.1250)  4 Hg 2.76
Au (0.3750, 0.7500, 0.6250)  4 Hg 2.76
Au (0.2500, 0.1250, 0.3750)  4 Hg 2.76
Au (0.8750, 0.1250, 0.2500)  4 Hg 2.76
Au (0.3750, 0.6250, 0.2500)  4 Hg 2.76
Au (0.6250, 0.3750, 0.7500)  4 Hg 2.76
Au (0.1250, 0.8750, 0.7500)  4 Hg 2.76
Au (0.7500, 0.8750, 0.6250)  4 Hg 2.76
Au (0.6250, 0.2500, 0.3750)  4 Hg 2.76
Au (0.1250, 0.2500, 0.8750)  4 Hg 2.76
Au (0.2500, 0.6250, 0.8750)  4 Hg 2.76
I (0.1250, 0.3750, 0.2500)  4 Hg 3.16
I (0.0000, 0.5000, 0.0000)  6 Hg 3.24
I (0.0000, 0.0000, 0.0000)  6 Hg 3.24
I (0.3750, 0.2500, 0.1250)  4 Hg 3.16
I (0.5000, 0.0000, 0.5000)  6 Hg 3.24
I (0.5000, 0.5000, 0.0000)  6 Hg 3.24
I (0.1250, 0.7500, 0.3750)  4 Hg 3.16
I (0.7500, 0.1250, 0.8750)  4 Hg 3.16
I (0.7500, 0.6250, 0.3750)  4 Hg 3.16
I (0.3750, 0.1250, 0.7500)  4 Hg 3.16
I (0.6250, 0.8750, 0.2500)  4 Hg 3.16
I (0.5000, 0.5000, 0.5000)  6 Hg 3.24
I (0.5000, 0.0000, 0.0000)  6 Hg 3.24
I (0.0000, 0.0000, 0.5000)  6 Hg 3.24
I (0.2500, 0.3750, 0.6250)  4 Hg 3.16
I (0.2500, 0.8750, 0.1250)  4 Hg 3.16
I (0.0000, 0.5000, 0.5000)  6 Hg 3.24
I (0.8750, 0.2500, 0.6250)  4 Hg 3.16
I (0.6250, 0.7500, 0.8750)  4 Hg 3.16
I (0.8750, 0.6250, 0.7500)  4 Hg 3.16
Hg (0.7500, 0.1347, 0.0822)  1 Au 2.76, 1 Hg 3.06
Hg (0.3322, 0.5822, 0.4475)  1 Au 2.76, 1 Hg 3.06
Hg (0.9178, 0.3653, 0.2500)  1 Au 2.76, 1 Hg 3.06
Hg (0.5822, 0.2500, 0.1347)  1 Au 2.76, 1 Hg 3.06
Hg (0.6153, 0.7500, 0.6678)  1 Au 2.76, 1 Hg 3.06
Hg (0.9178, 0.5525, 0.1678)  1 Au 2.76, 1 Hg 3.06
Hg (0.3322, 0.7500, 0.3847)  1 Au 2.76, 1 Hg 3.06
Hg (0.0525, 0.8847, 0.1347)  1 Au 2.76, 1 Hg 3.06
Hg (0.5525, 0.9178, 0.6678)  1 Au 2.76, 1 Hg 3.06
Hg (0.7500, 0.6153, 0.1678)  1 Au 2.76, 1 Hg 3.06
Hg (0.7500, 0.4178, 0.3653)  1 Au 2.76, 1 Hg 3.06
Hg (0.8322, 0.9475, 0.0822)  1 Au 2.76, 1 Hg 3.06
Hg (0.1347, 0.7500, 0.5822)  1 Au 2.76, 1 Hg 3.06
Hg (0.3653, 0.4475, 0.1153)  1 Au 2.76, 1 Hg 3.06
Hg (0.1153, 0.9475, 0.3653)  1 Au 2.76, 1 Hg 3.06
Hg (0.3847, 0.1347, 0.5525)  1 Au 2.76, 1 Hg 3.06
Hg (0.1153, 0.1678, 0.2500)  1 Au 2.76, 1 Hg 3.06
Hg (0.4178, 0.6678, 0.0525)  1 Au 2.76, 1 Hg 3.06
Hg (0.8322, 0.8847, 0.2500)  1 Au 2.76, 1 Hg 3.06
Hg (0.1347, 0.3847, 0.0525)  1 Au 2.76, 1 Hg 3.06
Hg (0.3653, 0.9178, 0.7500)  1 Au 2.76, 1 Hg 3.06
Hg (0.5525, 0.6347, 0.3847)  1 Au 2.76, 1 Hg 3.06
Hg (0.9475, 0.8322, 0.5822)  1 Au 2.76, 1 Hg 3.06
Hg (0.7500, 0.3322, 0.8847)  1 Au 2.76, 1 Hg 3.06
Hg (0.4475, 0.3653, 0.6153)  1 Au 2.76, 1 Hg 3.06
Hg (0.0525, 0.1678, 0.4178)  1 Au 2.76, 1 Hg 3.06
Hg (0.2500, 0.6678, 0.1153)  1 Au 2.76, 1 Hg 3.06
Hg (0.1678, 0.1153, 0.7500)  1 Au 2.76, 1 Hg 3.06
Hg (0.6347, 0.0822, 0.2500)  1 Au 2.76, 1 Hg 3.06
Hg (0.8653, 0.6153, 0.9475)  1 Au 2.76, 1 Hg 3.06
Hg (0.5822, 0.3322, 0.9475)  1 Au 2.76, 1 Hg 3.06
Hg (0.6153, 0.8653, 0.4475)  1 Au 2.76, 1 Hg 3.06
Hg (0.8847, 0.8322, 0.7500)  1 Au 2.76, 1 Hg 3.06
Hg (0.8847, 0.0525, 0.6347)  1 Au 2.76, 1 Hg 3.06
Hg (0.8653, 0.2500, 0.4178)  1 Au 2.76, 1 Hg 3.06
Hg (0.1678, 0.0525, 0.9178)  1 Au 2.76, 1 Hg 3.06
Hg (0.6347, 0.5525, 0.8847)  1 Au 2.76, 1 Hg 3.06
Hg (0.4475, 0.0822, 0.3322)  1 Au 2.76, 1 Hg 3.06
Hg (0.2500, 0.3847, 0.8322)  1 Au 2.76, 1 Hg 3.06
Hg (0.2500, 0.5822, 0.6347)  1 Au 2.76, 1 Hg 3.06
Hg (0.9475, 0.1153, 0.8653)  1 Au 2.76, 1 Hg 3.06
Hg (0.6678, 0.2500, 0.6153)  1 Au 2.76, 1 Hg 3.06
Hg (0.4178, 0.7500, 0.8653)  1 Au 2.76, 1 Hg 3.06
Hg (0.0822, 0.4475, 0.8322)  1 Au 2.76, 1 Hg 3.06
Hg (0.3847, 0.2500, 0.3322)  1 Au 2.76, 1 Hg 3.06
Hg (0.0822, 0.6347, 0.7500)  1 Au 2.76, 1 Hg 3.06
Hg (0.6678, 0.4178, 0.5525)  1 Au 2.76, 1 Hg 3.06
Hg (0.2500, 0.8653, 0.9178)  1 Au 2.76, 1 Hg 3.06

* energy relative to the elements, uncorrected: 0.13 kcal/mol of atoms
* total moment: 0.000 Bohr magnetons per cell
* space-group type: No. 230



Hg3AuI | GGA-PBE | optimized geometry

Cell: 5.4616 5.4616 5.4616 Å, 90.00 90.00 90.00°
With the nearest neighbours (Å) after each atom.
Fractional positions:
I (0.5000, 0.5000, 0.5000)  12 Hg 3.86
Au (0.0000, 0.0000, 0.0000)  6 Hg 2.73
Hg (0.0000, 0.5000, 0.0000)  2 Au 2.73
Hg (0.0000, 0.0000, 0.5000)  2 Au 2.73
Hg (0.5000, 0.0000, 0.0000)  2 Au 2.73

* energy relative to the elements, uncorrected: -1.10 kcal/mol of atoms
* total moment: 0.000 Bohr magnetons per cell
* space-group type: No. 221
* energy above the most stable polymorph in this dataset: 0.00 kJ/mol of atoms